# 1
CuBr3Cl: optimized geometry, GGA-PBE.

## Properties
Formation energy without anion corrections, eV per atom: 0.22
E above lowest polymorph, meV per atom: 279
N(E_F), states/eV/f.u.: 7.20
Total magnetization, μB/f.u.: 1.5
DFT total energy, eV/cell: -9.9

a = 5.0175 Å, b = 5.0175 Å, c = 5.0175 Å
α = 90.00°, β = 90.00°, γ = 90.00°
Closest atoms and distances in Å follow each position.
Fractional positions:
Cu1 0.0000 0.0000 0.0000  6 Br 2.51
Br1 0.0000 0.5000 0.0000  2 Cu 2.51
Br2 0.0000 0.0000 0.5000  2 Cu 2.51
Br3 0.5000 0.0000 0.0000  2 Cu 2.51
Cl1 0.5000 0.5000 0.5000  12 Br 3.55

---

# 2
Sc2HgSe: optimized geometry, GGA-PBE.

## Properties
Formation energy without anion corrections, eV per atom: -0.98
E above lowest polymorph, meV per atom: 0
N(E_F), states/eV/f.u.: 2.62
Total magnetization, μB/f.u.: 0.0
DFT total energy, eV/cell: -20.4

a = 3.7309 Å, b = 3.7309 Å, c = 7.6676 Å
α = 75.95°, β = 75.95°, γ = 59.88°
Closest atoms and distances in Å follow each position.
Fractional positions:
Sc1 0.0096 0.0096 0.9722  3 Se 2.70-2.71, 3 Hg 2.97
Sc2 0.4904 0.4904 0.5278  3 Se 2.70-2.71, 3 Hg 2.97
Hg1 0.2500 0.2500 0.2500  6 Sc 2.97
Se1 0.7500 0.7500 0.7500  6 Sc 2.70-2.71

---

# 3
MgZn3Ag3: optimized geometry, GGA-PBE.

## Properties
E above lowest polymorph, meV per atom: 594
N(E_F), states/eV/f.u.: 2.88
Total magnetization, μB/f.u.: 0.0
DFT total energy, eV/cell: -21.1
Energy relative to the elements, meV per atom: 490

a = 7.1469 Å, b = 7.1469 Å, c = 7.1469 Å
α = 90.00°, β = 90.00°, γ = 90.00°
Closest atoms and distances in Å follow each position.
Fractional positions:
Zn1 0.0000 0.2500 0.5000  4 Ag 2.53
Zn2 0.0000 0.7500 0.5000  4 Ag 2.53
Zn3 0.5000 0.0000 0.7500  4 Ag 2.53
Zn4 0.7500 0.5000 0.0000  4 Ag 2.53
Zn5 0.5000 0.0000 0.2500  4 Ag 2.53
Zn6 0.2500 0.5000 0.0000  4 Ag 2.53
Mg1 0.5000 0.5000 0.5000  12 Zn 4.00, 12 Ag 4.00
Mg2 0.0000 0.0000 0.0000  12 Ag 4.00, 12 Zn 4.00
Ag1 0.2500 0.0000 0.5000  4 Zn 2.53
Ag2 0.0000 0.5000 0.2500  4 Zn 2.53
Ag3 0.5000 0.7500 0.0000  4 Zn 2.53
Ag4 0.7500 0.0000 0.5000  4 Zn 2.53
Ag5 0.0000 0.5000 0.7500  4 Zn 2.53
Ag6 0.5000 0.2500 0.0000  4 Zn 2.53

---

# 4
KLi4Cu3F12: optimized geometry, GGA-PBE.

## Properties
Formation energy without anion corrections, eV per atom: -2.23
N(E_F), states/eV/f.u.: 11.55
Total magnetization, μB/f.u.: 2.0
DFT total energy, eV/cell: -88.1

a = 6.5941 Å, b = 6.5941 Å, c = 6.5941 Å
α = 109.47°, β = 109.47°, γ = 109.47°
Closest atoms and distances in Å follow each position.
Fractional positions:
K1 0.0000 0.0000 0.0000  12 F 2.78
Li1 0.5000 0.0000 0.0000  6 F 2.07
Li2 0.5000 0.5000 0.5000  6 F 2.07
Li3 0.0000 0.5000 0.0000  6 F 2.07
Li4 0.0000 0.0000 0.5000  6 F 2.07
Cu1 0.0000 0.5000 0.5000  4 F 1.88
Cu2 0.5000 0.5000 0.0000  4 F 1.88
Cu3 0.5000 0.0000 0.5000  4 F 1.88
F1 0.3227 0.8289 0.1516  1 Cu 1.88, 2 Li 2.07
F2 0.6773 0.1711 0.8484  1 Cu 1.88, 2 Li 2.07
F3 0.6773 0.8289 0.5061  1 Cu 1.88, 2 Li 2.07
F4 0.8484 0.6773 0.1711  1 Cu 1.88, 2 Li 2.07
F5 0.8289 0.1516 0.3227  1 Cu 1.88, 2 Li 2.07
F6 0.1711 0.4939 0.3227  1 Cu 1.88, 2 Li 2.07
F7 0.4939 0.3227 0.1711  1 Cu 1.88, 2 Li 2.07
F8 0.1711 0.8484 0.6773  1 Cu 1.88, 2 Li 2.07
F9 0.3227 0.1711 0.4939  1 Cu 1.88, 2 Li 2.07
F10 0.1516 0.3227 0.8289  1 Cu 1.88, 2 Li 2.07
F11 0.8289 0.5061 0.6773  1 Cu 1.88, 2 Li 2.07
F12 0.5061 0.6773 0.8289  1 Cu 1.88, 2 Li 2.07

---

# 5
Nd2AgGe: optimized geometry, GGA-PBE.

## Properties
N(E_F), states/eV/f.u.: 3.86
Total magnetization, μB/f.u.: 0.0
DFT total energy, eV/cell: -38.2
Energy relative to the elements, meV per atom: -526

a = 4.5081 Å, b = 6.2177 Å, c = 8.1510 Å
α = 110.98°, β = 90.00°, γ = 90.00°
Closest atoms and distances in Å follow each position.
Fractional positions:
Nd1 0.7500 0.2067 0.4232  4 Ge 3.10-3.43, 3 Ag 3.14-3.21
Nd2 0.2500 0.7933 0.5768  4 Ge 3.10-3.43, 3 Ag 3.14-3.21
Nd3 0.2500 0.7791 0.0684  3 Ge 3.11-3.26, 4 Ag 3.13-3.35
Nd4 0.7500 0.2209 0.9316  3 Ge 3.11-3.26, 4 Ag 3.13-3.35
Ag1 0.2500 0.3557 0.2166  2 Ge 2.91, 5 Nd 3.13-3.21
Ag2 0.7500 0.6443 0.7834  2 Ge 2.91, 5 Nd 3.13-3.21
Ge1 0.7500 0.6736 0.2921  2 Ag 2.91, 6 Nd 3.10-3.26
Ge2 0.2500 0.3264 0.7079  2 Ag 2.91, 6 Nd 3.10-3.26

---

# 6
Al2CdTe: optimized geometry, GGA-PBE.

## Properties
Formation energy without anion corrections, eV per atom: 0.16
E above lowest polymorph, meV per atom: 133
N(E_F), states/eV/f.u.: 1.44
Total magnetization, μB/f.u.: 0.0
DFT total energy, eV/cell: -10.9

a = 3.3892 Å, b = 3.3892 Å, c = 7.9065 Å
α = 90.00°, β = 90.00°, γ = 96.71°
Closest atoms and distances in Å follow each position.
Fractional positions:
Te1 0.5000 0.5000 0.7826  4 Al 2.95-3.17
Al1 0.0000 0.0000 0.0241  4 Al 2.75-2.99, 2 Te 2.95
Al2 0.5000 0.5000 0.2246  4 Al 2.75-2.99, 2 Cd 2.97
Cd1 0.0000 0.0000 0.4687  4 Al 2.97-3.18